[1]
# Nb8Fe2Sb4Pd | Alexandria | PBE-GGA | optimized geometry
data_Nb8Fe2Sb4Pd
_chemical_formula_sum 'Nb16 Fe4 Sb8 Pd2'
_symmetry_space_group_name_H-M 'I -4 2 m'
_symmetry_Int_Tables_number 121
_symmetry_space_group_name_Hall 'I -4 2'
_cell_length_a 10.5657
_cell_length_b 10.5657
_cell_length_c 4.9715
_cell_angle_alpha 90.00
_cell_angle_beta 90.00
_cell_angle_gamma 90.00
loop_
_atom_site_label
_atom_site_fract_x
_atom_site_fract_y
_atom_site_fract_z
Nb1 0.0802 0.2979 0.2408
Fe1 0.0000 0.5000 0.0000
Sb1 0.1504 0.1504 0.7193
Pd1 0.0000 0.0000 0.0000
# * raw formation energy: -271 meV per atom
# * uncorrected energy: -123.228 eV per formula unit



[2]
# NbFeSnPd | Alexandria | PBE-GGA | optimized geometry
data_NbFeSnPd
_chemical_formula_sum 'Nb4 Fe4 Sn4 Pd4'
_symmetry_space_group_name_H-M 'F -4 3 m'
_symmetry_Int_Tables_number 216
_symmetry_space_group_name_Hall 'F -4 2 3'
_cell_length_a 6.4067
_cell_length_b 6.4067
_cell_length_c 6.4067
_cell_angle_alpha 90.00
_cell_angle_beta 90.00
_cell_angle_gamma 90.00
loop_
_atom_site_label
_atom_site_fract_x
_atom_site_fract_y
_atom_site_fract_z
Nb1 0.0000 0.0000 0.0000
Fe1 0.2500 0.2500 0.2500
Sn1 0.0000 0.0000 0.5000
Pd1 0.2500 0.2500 0.7500
# * uncorrected energy: -28.171 eV per formula unit
# * formation enthalpy at 0 K: -0.111 eV/atom



[3]
# Nb2FeTePd | Alexandria | PBE-GGA | optimized geometry
data_Nb2FeTePd
_chemical_formula_sum 'Nb2 Fe1 Te1 Pd1'
_symmetry_space_group_name_H-M 'P 4/m m m'
_symmetry_Int_Tables_number 123
_symmetry_space_group_name_Hall '-P 4 2'
_cell_length_a 5.0579
_cell_length_b 5.0579
_cell_length_c 4.5248
_cell_angle_alpha 90.00
_cell_angle_beta 90.00
_cell_angle_gamma 90.00
loop_
_atom_site_label
_atom_site_fract_x
_atom_site_fract_y
_atom_site_fract_z
Nb1 0.0000 0.5000 0.0000
Fe1 0.0000 0.0000 0.5000
Te1 0.0000 0.0000 0.0000
Pd1 0.5000 0.5000 0.5000
# * raw formation energy: 1386 meV per atom
# * uncorrected energy: -30.006 eV per formula unit



[4]
# TiNbFePd | Alexandria | PBE-GGA | optimized geometry
data_TiNbFePd
_chemical_formula_sum 'Ti4 Nb4 Fe4 Pd4'
_symmetry_space_group_name_H-M 'F -4 3 m'
_symmetry_Int_Tables_number 216
_symmetry_space_group_name_Hall 'F -4 2 3'
_cell_length_a 6.2111
_cell_length_b 6.2111
_cell_length_c 6.2111
_cell_angle_alpha 90.00
_cell_angle_beta 90.00
_cell_angle_gamma 90.00
loop_
_atom_site_label
_atom_site_fract_x
_atom_site_fract_y
_atom_site_fract_z
Ti1 0.0000 0.0000 0.0000
Nb1 0.2500 0.2500 0.7500
Fe1 0.0000 0.0000 0.5000
Pd1 0.2500 0.2500 0.2500
# * uncorrected energy: -32.160 eV per formula unit
# * formation enthalpy at 0 K: -0.135 eV/atom



[5]
# NbFe2PdW | Alexandria | PBE-GGA | optimized geometry
data_NbFe2PdW
_chemical_formula_sum 'Nb1 Fe2 Pd1 W1'
_symmetry_space_group_name_H-M 'P 4/m m m'
_symmetry_Int_Tables_number 123
_symmetry_space_group_name_Hall '-P 4 2'
_cell_length_a 4.4714
_cell_length_b 4.4714
_cell_length_c 4.7799
_cell_angle_alpha 90.00
_cell_angle_beta 90.00
_cell_angle_gamma 90.00
loop_
_atom_site_label
_atom_site_fract_x
_atom_site_fract_y
_atom_site_fract_z
Nb1 0.0000 0.0000 0.0000
Fe1 0.0000 0.5000 0.0000
Pd1 0.5000 0.5000 0.5000
W1 0.0000 0.0000 0.5000
# * uncorrected energy: -36.331 eV per formula unit
# * formation enthalpy at 0 K: 1.762 eV/atom



[6]
# NbZnFePd | Alexandria | PBE-GGA | optimized geometry
data_NbZnFePd
_chemical_formula_sum 'Nb4 Zn4 Fe4 Pd4'
_symmetry_space_group_name_H-M 'F -4 3 m'
_symmetry_Int_Tables_number 216
_symmetry_space_group_name_Hall 'F -4 2 3'
_cell_length_a 6.1585
_cell_length_b 6.1585
_cell_length_c 6.1585
_cell_angle_alpha 90.00
_cell_angle_beta 90.00
_cell_angle_gamma 90.00
loop_
_atom_site_label
_atom_site_fract_x
_atom_site_fract_y
_atom_site_fract_z
Nb1 0.0000 0.0000 0.0000
Zn1 0.0000 0.0000 0.5000
Fe1 0.2500 0.2500 0.2500
Pd1 0.2500 0.2500 0.7500
# * uncorrected energy: -25.382 eV per formula unit
# * formation enthalpy at 0 K: -0.096 eV/atom



[7]
# NbZnFe2Pd | Alexandria | PBE-GGA | optimized geometry
data_NbZnFe2Pd
_chemical_formula_sum 'Nb1 Zn1 Fe2 Pd1'
_symmetry_space_group_name_H-M 'P 4/m m m'
_symmetry_Int_Tables_number 123
_symmetry_space_group_name_Hall '-P 4 2'
_cell_length_a 4.3768
_cell_length_b 4.3768
_cell_length_c 4.5129
_cell_angle_alpha 90.00
_cell_angle_beta 90.00
_cell_angle_gamma 90.00
loop_
_atom_site_label
_atom_site_fract_x
_atom_site_fract_y
_atom_site_fract_z
Nb1 0.0000 0.0000 0.0000
Zn1 0.5000 0.5000 0.5000
Fe1 0.0000 0.5000 0.5000
Pd1 0.5000 0.5000 0.0000
# * uncorrected energy: -28.612 eV per formula unit
# * formation enthalpy at 0 K: 0.970 eV/atom



[8]
# NbZnFePd2 | Alexandria | PBE-GGA | optimized geometry
data_NbZnFePd2
_chemical_formula_sum 'Nb1 Zn1 Fe1 Pd2'
_symmetry_space_group_name_H-M 'P 4/m m m'
_symmetry_Int_Tables_number 123
_symmetry_space_group_name_Hall '-P 4 2'
_cell_length_a 4.8944
_cell_length_b 4.8944
_cell_length_c 4.4049
_cell_angle_alpha 90.00
_cell_angle_beta 90.00
_cell_angle_gamma 90.00
loop_
_atom_site_label
_atom_site_fract_x
_atom_site_fract_y
_atom_site_fract_z
Nb1 0.0000 0.0000 0.0000
Zn1 0.5000 0.5000 0.5000
Fe1 0.0000 0.0000 0.5000
Pd1 0.0000 0.5000 0.0000
# * uncorrected energy: -24.723 eV per formula unit
# * formation enthalpy at 0 K: 1.094 eV/atom



Q: Which value of uncorrected energy does entry 8 give?
A: -24.723 eV per formula unit